Entry 1:
{
  "formula": "AlV4Mo6",
  "functional": "GGA-PBE",
  "state": "relaxed",
  "lattice": [[6.3635, 0.7886, -3.4708], [-0.8095, 4.3493, -2.5934], [-1.0946, -0.0728, 6.6973]],
  "species": ["Al", "V", "V", "V", "V", "Mo", "Mo", "Mo", "Mo", "Mo", "Mo"],
  "frac_coords": [[0.9112, 0.9613, 0.0003], [0.4496, 0.1286, 0.7161], [0.6001, 0.7666, 0.9999], [0.7332, 0.4120, 0.2833], [0.2685, 0.5923, 0.0000], [0.6574, 0.0030, 0.4816], [0.1761, 0.5220, 0.5187], [0.9267, 0.4551, 0.0001], [0.5132, 0.5448, 0.5119], [0.2630, 0.0815, 0.0000], [0.0011, 0.0329, 0.4879]],
  "delta_e_f_ev_per_atom": 0.263,
  "crystal_system": "monoclinic",
  "spacegroup": "Cm"
}

=====

Entry 2:
{
  "formula": "Al2V7Mo3",
  "functional": "GGA-PBE",
  "state": "relaxed",
  "lattice": [[4.0926, 0.0000, 0.0000], [0.0000, 4.2449, -0.8431], [0.0000, -0.0859, 10.6754]],
  "species": ["Al", "Al", "V", "V", "V", "V", "V", "V", "V", "Mo", "Mo", "Mo"],
  "frac_coords": [[0.0000, 0.8517, 0.7035], [0.0000, 0.1483, 0.2965], [0.0000, 0.4234, 0.8469], [0.0000, 0.7288, 0.4575], [0.0000, 0.0000, 0.0000], [0.0000, 0.5766, 0.1531], [0.5000, 0.0692, 0.1384], [0.5000, 0.9308, 0.8616], [0.0000, 0.2712, 0.5425], [0.5000, 0.5000, 0.0000], [0.5000, 0.6519, 0.3038], [0.5000, 0.3481, 0.6962]],
  "delta_e_f_ev_per_atom": 0.210,
  "crystal_system": "orthorhombic",
  "spacegroup": "Cmmm"
}

=====

Entry 3:
{
  "formula": "AlVMo2",
  "functional": "GGA-PBE",
  "state": "relaxed",
  "lattice": [[-2.8071, -4.6410, 4.3458], [5.8480, -0.0204, 3.7557], [0.5582, -0.3356, 5.5598]],
  "species": ["Mo", "Mo", "Mo", "Mo", "Al", "Al", "V", "V"],
  "frac_coords": [[0.6515, 0.1250, 0.2500], [0.0985, 0.6250, 0.2500], [0.3750, 0.3485, 0.7500], [0.8750, 0.9015, 0.7500], [0.5000, 0.5000, 0.0000], [0.2500, 0.7500, 0.5000], [0.0000, 0.0000, 0.0000], [0.7500, 0.2500, 0.5000]],
  "delta_e_f_ev_per_atom": 0.530,
  "crystal_system": "tetragonal",
  "spacegroup": "I-42d"
}

=====

Entry 4:
{
  "formula": "AlV4Mo2",
  "functional": "GGA-PBE",
  "state": "relaxed",
  "lattice": [[-1.5491, -4.0752, -0.5656], [2.9220, -0.6642, -3.2167], [4.7547, -4.4898, 2.2421]],
  "species": ["Mo", "Mo", "Al", "V", "V", "V", "V"],
  "frac_coords": [[0.3778, 0.3778, 0.2444], [0.6222, 0.6222, 0.7556], [0.0000, 0.0000, 0.0000], [0.1950, 0.1950, 0.6101], [0.8050, 0.8050, 0.3899], [0.0000, 0.5000, 0.0000], [0.5000, 0.0000, 0.0000]],
  "delta_e_f_ev_per_atom": 1.100,
  "de_polymorph_kcal_per_mol_atoms": 22.56,
  "crystal_system": "tetragonal",
  "spacegroup": "I4/mmm"
}

=====

Entry 5:
{
  "formula": "AlMo12W6",
  "functional": "GGA-PBE",
  "state": "relaxed",
  "lattice": [[6.8464, -0.0908, -1.4780], [-1.8124, 6.6028, -1.4780], [-0.0702, -0.0908, 7.0037]],
  "species": ["Al", "Mo", "Mo", "Mo", "Mo", "Mo", "Mo", "Mo", "Mo", "Mo", "Mo", "Mo", "Mo", "W", "W", "W", "W", "W", "W"],
  "frac_coords": [[0.0000, 0.0000, 0.0000], [0.5917, 0.1847, 0.5914], [0.1847, 0.5914, 0.5917], [0.5914, 0.5917, 0.1847], [0.4083, 0.8153, 0.4086], [0.8153, 0.4086, 0.4083], [0.4086, 0.4083, 0.8153], [0.2630, 0.9998, 0.7365], [0.2635, 0.7370, 0.0002], [0.0002, 0.2635, 0.7370], [0.7370, 0.0002, 0.2635], [0.7365, 0.2630, 0.9998], [0.9998, 0.7365, 0.2630], [0.1706, 0.1706, 0.4217], [0.8294, 0.5783, 0.8294], [0.5783, 0.8294, 0.8294], [0.8294, 0.8294, 0.5783], [0.1706, 0.4217, 0.1706], [0.4217, 0.1706, 0.1706]],
  "delta_e_f_ev_per_atom": 0.354,
  "crystal_system": "trigonal",
  "spacegroup": "R-3m"
}

=====

Entry 6:
{
  "formula": "Al2MoW",
  "functional": "GGA-PBE",
  "state": "relaxed",
  "lattice": [[4.4204, -0.0591, 0.0000], [0.1029, 4.4196, 0.0000], [-2.2617, -2.1803, 3.1104]],
  "species": ["Mo", "Al", "Al", "W"],
  "frac_coords": [[0.5000, 0.5000, 0.0000], [0.0000, 0.0000, 0.0000], [0.2500, 0.7500, 0.5000], [0.7500, 0.2500, 0.5000]],
  "delta_e_f_ev_per_atom": -0.120,
  "de_polymorph_kcal_per_mol_atoms": 1.31,
  "crystal_system": "tetragonal",
  "spacegroup": "I-4m2"
}

=====

Entry 7:
{
  "formula": "Al4MoW",
  "functional": "GGA-PBE",
  "state": "relaxed",
  "lattice": [[0.8623, -0.7561, 4.8799], [-3.2151, -2.7172, 2.7218], [1.3225, -4.5500, 1.6360]],
  "species": ["Al", "Al", "Al", "Al", "Mo", "W"],
  "frac_coords": [[0.6250, 0.6250, 0.1251], [0.6250, 0.1251, 0.6250], [0.6250, 0.6250, 0.6250], [0.1251, 0.6250, 0.6250], [0.2500, 0.2500, 0.2500], [0.0000, 0.0000, 0.0000]],
  "delta_e_f_ev_per_atom": 0.075,
  "crystal_system": "cubic",
  "spacegroup": "F-43m"
}

=====

Entry 8:
{
  "formula": "Al2MoW",
  "functional": "GGA-PBE",
  "state": "relaxed",
  "lattice": [[-6.4429, -6.7638, 0.1888], [-4.9124, -7.6911, -2.0025], [-4.1437, -8.3496, 0.6393]],
  "species": ["Mo", "Al", "Al", "W"],
  "frac_coords": [[0.5018, 0.5018, 0.5018], [0.0002, 0.0002, 0.0002], [0.2498, 0.2498, 0.2498], [0.7483, 0.7483, 0.7483]],
  "delta_e_f_ev_per_atom": 0.088,
  "de_polymorph_kcal_per_mol_atoms": 6.11,
  "crystal_system": "trigonal",
  "spacegroup": "R3m"
}

=====

Entry 9:
{
  "formula": "Al2MoW",
  "functional": "GGA-PBE",
  "state": "relaxed",
  "lattice": [[-3.9196, -2.6267, 0.1694], [1.3872, -1.8032, 4.1371], [-1.3047, 2.0322, 1.3232]],
  "species": ["Mo", "Al", "Al", "W"],
  "frac_coords": [[0.5000, 0.0000, 0.5000], [0.0000, 0.0000, 0.0000], [0.5000, 0.5000, 0.0000], [0.0000, 0.5000, 0.5000]],
  "delta_e_f_ev_per_atom": 0.086,
  "de_polymorph_kcal_per_mol_atoms": 6.06,
  "crystal_system": "tetragonal",
  "spacegroup": "P4/mmm"
}

=====

Entry 10:
{
  "formula": "Al2MoW",
  "functional": "GGA-PBE",
  "state": "relaxed",
  "lattice": [[6.9513, 0.0000, 0.0000], [0.0000, 6.9513, 0.0000], [3.4756, 3.4756, 2.7285]],
  "species": ["Mo", "Mo", "Al", "Al", "Al", "Al", "W", "W"],
  "frac_coords": [[0.5000, 0.5000, 0.0000], [0.2500, 0.7500, 0.5000], [0.6225, 0.1250, 0.2500], [0.1275, 0.6250, 0.2500], [0.3750, 0.3775, 0.7500], [0.8750, 0.8725, 0.7500], [0.0000, 0.0000, 0.0000], [0.7500, 0.2500, 0.5000]],
  "delta_e_f_ev_per_atom": 0.544,
  "de_polymorph_kcal_per_mol_atoms": 16.62,
  "crystal_system": "tetragonal",
  "spacegroup": "I-42d"
}

=====

Entry 11:
{
  "formula": "Al2Mo2W",
  "functional": "GGA-PBE",
  "state": "relaxed",
  "lattice": [[-1.2263, 0.3744, 6.6758], [1.7729, -6.5260, 0.6916], [3.1482, 0.9111, 0.5272]],
  "species": ["Mo", "Mo", "Mo", "Mo", "Al", "Al", "Al", "Al", "W", "W"],
  "frac_coords": [[0.1713, 0.6713, 0.5000], [0.6713, 0.8287, 0.5000], [0.8287, 0.3287, 0.5000], [0.3287, 0.1713, 0.5000], [0.3708, 0.8708, 0.0000], [0.8708, 0.6292, 0.0000], [0.6292, 0.1292, 0.0000], [0.1292, 0.3708, 0.0000], [0.0000, 0.0000, 0.0000], [0.5000, 0.5000, 0.0000]],
  "delta_e_f_ev_per_atom": 0.033,
  "crystal_system": "tetragonal",
  "spacegroup": "P4/mbm"
}

=====

Entry 12:
{
  "formula": "Al2MoW",
  "functional": "GGA-PBE",
  "state": "relaxed",
  "lattice": [[-0.7689, -2.2707, -1.3115], [2.6230, -0.4083, 0.6485], [-2.3738, -3.4774, 7.4126]],
  "species": ["Mo", "Al", "Al", "W"],
  "frac_coords": [[0.5000, 0.5000, 0.2500], [0.0000, 0.0000, 0.0009], [0.0000, 0.0000, 0.4991], [0.5000, 0.5000, 0.7500]],
  "delta_e_f_ev_per_atom": -0.072,
  "de_polymorph_kcal_per_mol_atoms": 2.41,
  "crystal_system": "orthorhombic",
  "spacegroup": "Cmmm"
}

=====

Entry 13:
{
  "formula": "Al2MoW",
  "functional": "GGA-PBE",
  "state": "relaxed",
  "lattice": [[-0.6168, 0.6039, 5.0013], [-3.9396, -2.1353, -2.3827], [0.4299, -2.5822, 0.7645]],
  "species": ["Mo", "Al", "Al", "W"],
  "frac_coords": [[0.5000, 0.0000, 0.5000], [0.0000, 0.0000, 0.0000], [0.5000, 0.5000, 0.0000], [0.0000, 0.5000, 0.5000]],
  "delta_e_f_ev_per_atom": -0.075,
  "de_polymorph_kcal_per_mol_atoms": 2.35,
  "crystal_system": "monoclinic",
  "spacegroup": "C2/m"
}

=====

Entry 14:
{
  "formula": "Al2MoW",
  "functional": "GGA-PBE",
  "state": "relaxed",
  "lattice": [[5.0503, -0.0072, -0.0115], [2.0744, 4.6046, 0.0115], [-3.1949, -2.8681, 2.6594]],
  "species": ["Mo", "Al", "Al", "W"],
  "frac_coords": [[0.5073, 0.5073, 0.0000], [0.9963, 0.9963, 0.0000], [0.2550, 0.7550, 0.5000], [0.7414, 0.2414, 0.5000]],
  "delta_e_f_ev_per_atom": -0.068,
  "de_polymorph_kcal_per_mol_atoms": 2.52,
  "crystal_system": "orthorhombic",
  "spacegroup": "Imm2"
}

=====

Entry 15:
{
  "formula": "AlMoW",
  "functional": "GGA-PBE",
  "state": "relaxed",
  "lattice": [[6.9088, -0.0093, 0.0069], [6.1743, 2.6562, 0.0089], [0.7345, -0.7580, 2.5554]],
  "species": ["Mo", "Al", "W"],
  "frac_coords": [[0.3343, 0.3343, 0.6657], [0.9994, 0.9994, 0.0006], [0.6665, 0.6665, 0.3335]],
  "delta_e_f_ev_per_atom": -0.038,
  "de_polymorph_kcal_per_mol_atoms": 1.34,
  "crystal_system": "orthorhombic",
  "spacegroup": "Fmm2"
}

=====

Entry 16:
{
  "formula": "Al2MoW",
  "functional": "GGA-PBE",
  "state": "relaxed",
  "lattice": [[4.2647, 0.0000, 0.0000], [0.0000, 2.7332, 0.0150], [0.0000, 1.2160, 5.2820]],
  "species": ["Mo", "Al", "Al", "W"],
  "frac_coords": [[0.5000, 0.2500, 0.2500], [0.0000, 0.0094, 0.0006], [0.0000, 0.4906, 0.4994], [0.5000, 0.7500, 0.7500]],
  "delta_e_f_ev_per_atom": -0.072,
  "de_polymorph_kcal_per_mol_atoms": 2.40,
  "crystal_system": "monoclinic",
  "spacegroup": "P2/m"
}

=====

Entry 17:
{
  "formula": "Al2MoW",
  "functional": "GGA-PBE",
  "state": "relaxed",
  "lattice": [[2.7174, 0.0000, 0.0000], [0.0000, 2.7174, 0.0000], [0.0000, 0.0000, 8.3775]],
  "species": ["Mo", "Al", "Al", "W"],
  "frac_coords": [[0.5000, 0.5000, 0.2500], [0.0000, 0.0000, 0.0007], [0.0000, 0.0000, 0.4993], [0.5000, 0.5000, 0.7500]],
  "delta_e_f_ev_per_atom": -0.006,
  "de_polymorph_kcal_per_mol_atoms": 3.95,
  "crystal_system": "tetragonal",
  "spacegroup": "P4/mmm"
}

=====

Entry 18:
{
  "formula": "Al2MoW",
  "functional": "GGA-PBE",
  "state": "relaxed",
  "lattice": [[9.1323, -0.0096, -0.0057], [8.6927, 2.7991, -0.0057], [8.6927, 1.3603, 2.4463]],
  "species": ["Mo", "Al", "Al", "W"],
  "frac_coords": [[0.2500, 0.2500, 0.2500], [0.9998, 0.9998, 0.9998], [0.5002, 0.5002, 0.5002], [0.7500, 0.7500, 0.7500]],
  "delta_e_f_ev_per_atom": 0.025,
  "de_polymorph_kcal_per_mol_atoms": 4.65,
  "crystal_system": "trigonal",
  "spacegroup": "R-3m"
}

=====

Entry 19:
{
  "formula": "AlMoW",
  "functional": "GGA-PBE",
  "state": "relaxed",
  "lattice": [[4.4476, 0.0000, 0.0000], [-2.2238, 3.8518, 0.0000], [0.0000, 0.0000, 2.7379]],
  "species": ["Mo", "Al", "W"],
  "frac_coords": [[0.6667, 0.3333, 0.3698], [0.0000, 0.0000, 0.0022], [0.3333, 0.6667, 0.6280]],
  "delta_e_f_ev_per_atom": -0.096,
  "de_polymorph_kcal_per_mol_atoms": 0.00,
  "crystal_system": "trigonal",
  "spacegroup": "P3m1"
}

=====

Entry 20:
{
  "formula": "AlMoW",
  "functional": "GGA-PBE",
  "state": "relaxed",
  "lattice": [[-2.8559, -4.5311, 4.0171], [0.0038, -6.3206, 2.2077], [2.6253, 5.9184, -1.7043]],
  "species": ["Mo", "Al", "W"],
  "frac_coords": [[0.3395, 0.3395, 0.0000], [0.9999, 0.9999, 0.0000], [0.6607, 0.6607, 0.0000]],
  "delta_e_f_ev_per_atom": 0.118,
  "de_polymorph_kcal_per_mol_atoms": 4.93,
  "crystal_system": "tetragonal",
  "spacegroup": "I4mm"
}

=====

Entry 21:
{
  "formula": "AlMoW",
  "functional": "GGA-PBE",
  "state": "relaxed",
  "lattice": [[4.8023, -0.0054, 0.0041], [2.1342, 4.3020, -0.0041], [-2.8926, -3.0776, 2.2854]],
  "species": ["Mo", "Al", "W"],
  "frac_coords": [[0.3365, 0.3365, 0.0000], [0.0005, 0.0005, 0.0000], [0.6630, 0.6630, 0.0000]],
  "delta_e_f_ev_per_atom": 0.041,
  "de_polymorph_kcal_per_mol_atoms": 3.15,
  "crystal_system": "orthorhombic",
  "spacegroup": "Imm2"
}

=====

Entry 22:
{
  "formula": "AlMo3W",
  "functional": "GGA-PBE",
  "state": "relaxed",
  "lattice": [[-1.3824, -4.1732, -1.7848], [4.5052, -1.0349, -1.0696], [0.5514, -2.0063, 4.2641]],
  "species": ["Mo", "Mo", "Mo", "Al", "W"],
  "frac_coords": [[0.0000, 0.5000, 0.0000], [0.0000, 0.0000, 0.5000], [0.5000, 0.0000, 0.0000], [0.5000, 0.5000, 0.5000], [0.0000, 0.0000, 0.0000]],
  "delta_e_f_ev_per_atom": 1.714,
  "de_polymorph_kcal_per_mol_atoms": 2.41,
  "crystal_system": "cubic",
  "spacegroup": "Pm-3m"
}

=====

Entry 23:
{
  "formula": "AlMo3W",
  "functional": "GGA-PBE",
  "state": "relaxed",
  "lattice": [[4.4660, 0.0000, 0.0000], [0.0000, 4.4660, 0.0000], [0.0000, 0.0000, 4.4660]],
  "species": ["Mo", "Mo", "Mo", "Al", "W"],
  "frac_coords": [[0.0000, 0.5000, 0.0000], [0.0000, 0.0000, 0.5000], [0.5000, 0.0000, 0.0000], [0.0000, 0.0000, 0.0000], [0.5000, 0.5000, 0.5000]],
  "delta_e_f_ev_per_atom": 1.610,
  "de_polymorph_kcal_per_mol_atoms": 0.00,
  "crystal_system": "cubic",
  "spacegroup": "Pm-3m"
}

=====

Entry 24:
{
  "formula": "AlMoW",
  "functional": "GGA-PBE",
  "state": "relaxed",
  "lattice": [[-3.0005, 1.1119, 0.4396], [-2.2698, -5.1478, -2.4722], [-2.2017, -2.7818, 3.8739]],
  "species": ["Al", "Al", "Mo", "Mo", "W", "W"],
  "frac_coords": [[0.9595, 0.6415, 0.2790], [0.6268, 0.4559, 0.9443], [0.2995, 0.3040, 0.5990], [0.2868, 0.7935, 0.6244], [0.9557, 0.1216, 0.2865], [0.6306, 0.9759, 0.9368]],
  "delta_e_f_ev_per_atom": -0.044,
  "de_polymorph_kcal_per_mol_atoms": 1.19,
  "crystal_system": "monoclinic",
  "spacegroup": "C2/m"
}

=====

Entry 25:
{
  "formula": "Al2MoW",
  "functional": "GGA-PBE",
  "state": "relaxed",
  "lattice": [[4.8402, -0.0067, 0.0137], [4.0549, 2.6431, 0.0137], [0.6932, 0.2055, 4.8192]],
  "species": ["Mo", "Al", "Al", "W"],
  "frac_coords": [[0.4967, 0.4967, 0.5112], [0.0018, 0.0018, 0.0012], [0.7480, 0.7480, 0.7485], [0.2536, 0.2536, 0.2390]],
  "delta_e_f_ev_per_atom": -0.021,
  "de_polymorph_kcal_per_mol_atoms": 3.59,
  "crystal_system": "monoclinic",
  "spacegroup": "Cm"
}

=====

Entry 26:
{
  "formula": "AlMoW4",
  "functional": "GGA-PBE",
  "state": "relaxed",
  "lattice": [[0.0000, 3.7070, 3.7070], [3.7070, 0.0000, 3.7070], [3.7070, 3.7070, 0.0000]],
  "species": ["Al", "Mo", "W", "W", "W", "W"],
  "frac_coords": [[0.7500, 0.7500, 0.7500], [0.0000, 0.0000, 0.0000], [0.8748, 0.3751, 0.3751], [0.3751, 0.3751, 0.8748], [0.3751, 0.8748, 0.3751], [0.3751, 0.3751, 0.3751]],
  "delta_e_f_ev_per_atom": 0.325,
  "de_polymorph_kcal_per_mol_atoms": 7.12,
  "crystal_system": "cubic",
  "spacegroup": "F-43m"
}

=====

Entry 27:
{
  "formula": "Al2MoW",
  "functional": "GGA-PBE",
  "state": "relaxed",
  "lattice": [[-1.1484, 0.6196, 2.3773], [-2.4320, 0.0851, -1.1970], [-1.1088, -8.4054, 1.6550]],
  "species": ["Mo", "Al", "Al", "W"],
  "frac_coords": [[0.0000, 0.0000, 0.4919], [0.0000, 0.0000, 0.9953], [0.5000, 0.5000, 0.2549], [0.5000, 0.5000, 0.7579]],
  "delta_e_f_ev_per_atom": 0.122,
  "de_polymorph_kcal_per_mol_atoms": 6.89,
  "crystal_system": "tetragonal",
  "spacegroup": "P4mm"
}

=====

Entry 28:
{
  "formula": "AlMoW",
  "functional": "GGA-PBE",
  "state": "relaxed",
  "lattice": [[-0.3992, 3.8899, -1.7876], [0.9779, 0.5704, -4.1478], [-3.1215, 0.7403, -2.8626]],
  "species": ["Mo", "Al", "W"],
  "frac_coords": [[0.7500, 0.7500, 0.7500], [0.5000, 0.5000, 0.5000], [0.0000, 0.0000, 0.0000]],
  "delta_e_f_ev_per_atom": 0.689,
  "de_polymorph_kcal_per_mol_atoms": 18.09,
  "crystal_system": "cubic",
  "spacegroup": "F-43m"
}